[1]
This record from Alexandria via LeMat-Bulk describes a relaxed V2Si6Mo crystal. The functional is PBE.

CIF file:
```
data_V2Si6Mo
_cell_length_a 4.596
_cell_length_b 4.596
_cell_length_c 6.417
_cell_angle_alpha 90.00
_cell_angle_beta 90.00
_cell_angle_gamma 119.89
_symmetry_space_group_name_H-M 'P 1'
_symmetry_Int_Tables_number 1
loop_
_symmetry_equiv_pos_as_xyz
'x,y,z'
loop_
_atom_site_label
_atom_site_fract_x
_atom_site_fract_y
_atom_site_fract_z
V1 0.000 0.500 0.167
V2 0.500 0.000 0.833
Si1 0.177 0.342 0.837
Si2 0.336 0.664 0.500
Si3 0.342 0.177 0.163
Si4 0.658 0.823 0.163
Si5 0.664 0.336 0.500
Si6 0.823 0.658 0.837
Mo1 0.000 0.000 0.500
```

Properties
* formation energy (no corrections): -0.48 eV per atom
* crystal system: orthorhombic
* VASP energy: -7.33 eV per atom
* density: 5.2 g/cm³



[2]
This record from Alexandria via LeMat-Bulk describes a relaxed VSiMo3 crystal. The functional is PBE.

CIF file:
```
data_VSiMo3
_cell_length_a 4.478
_cell_length_b 4.478
_cell_length_c 4.478
_cell_angle_alpha 90.00
_cell_angle_beta 90.00
_cell_angle_gamma 90.00
_symmetry_space_group_name_H-M 'P 1'
_symmetry_Int_Tables_number 1
loop_
_symmetry_equiv_pos_as_xyz
'x,y,z'
loop_
_atom_site_label
_atom_site_fract_x
_atom_site_fract_y
_atom_site_fract_z
V1 0.000 0.000 0.000
Si1 0.500 0.500 0.500
Mo1 0.000 0.500 0.500
Mo2 0.500 0.000 0.500
Mo3 0.500 0.500 0.000
```

Properties
* formation energy (no corrections): 1.06 eV per atom
* crystal system: cubic
* ΔE to the lowest computed polymorph: 0.000 eV per atom
* VASP energy: -8.35 eV per atom
* density: 6.8 g/cm³



[3]
This record from Alexandria via LeMat-Bulk describes a relaxed VSi4Mo2 crystal. The functional is PBE.

CIF file:
```
data_VSi4Mo2
_cell_length_a 4.482
_cell_length_b 4.482
_cell_length_c 12.270
_cell_angle_alpha 90.00
_cell_angle_beta 90.00
_cell_angle_gamma 90.00
_symmetry_space_group_name_H-M 'P 1'
_symmetry_Int_Tables_number 1
loop_
_symmetry_equiv_pos_as_xyz
'x,y,z'
loop_
_atom_site_label
_atom_site_fract_x
_atom_site_fract_y
_atom_site_fract_z
V1 0.000 0.000 0.000
V2 0.500 0.500 0.500
Si1 0.000 0.000 0.193
Si2 0.000 0.000 0.807
Si3 0.000 0.500 0.000
Si4 0.000 0.500 0.500
Si5 0.500 0.000 0.000
Si6 0.500 0.000 0.500
Si7 0.500 0.500 0.307
Si8 0.500 0.500 0.693
Mo1 0.000 0.000 0.397
Mo2 0.000 0.000 0.603
Mo3 0.500 0.500 0.103
Mo4 0.500 0.500 0.897
```

Properties
* formation energy (no corrections): 0.55 eV per atom
* crystal system: tetragonal
* VASP energy: -6.94 eV per atom
* density: 4.8 g/cm³



[4]
This record from Alexandria via LeMat-Bulk describes a relaxed VSiMo3 crystal. The functional is PBE.

CIF file:
```
data_VSiMo3
_cell_length_a 4.496
_cell_length_b 4.496
_cell_length_c 4.496
_cell_angle_alpha 90.00
_cell_angle_beta 90.00
_cell_angle_gamma 90.00
_symmetry_space_group_name_H-M 'P 1'
_symmetry_Int_Tables_number 1
loop_
_symmetry_equiv_pos_as_xyz
'x,y,z'
loop_
_atom_site_label
_atom_site_fract_x
_atom_site_fract_y
_atom_site_fract_z
V1 0.000 0.000 0.000
Si1 0.500 0.500 0.500
Mo1 0.000 0.000 0.500
Mo2 0.000 0.500 0.000
Mo3 0.500 0.000 0.000
```

Properties
* formation energy (no corrections): 1.38 eV per atom
* crystal system: cubic
* ΔE to the lowest computed polymorph: 0.324 eV per atom
* VASP energy: -8.03 eV per atom
* density: 6.7 g/cm³



[5]
This record from Alexandria via LeMat-Bulk describes a relaxed V4Si2Mo3 crystal. The functional is PBE.

CIF file:
```
data_V4Si2Mo3
_cell_length_a 4.950
_cell_length_b 4.950
_cell_length_c 6.811
_cell_angle_alpha 102.24
_cell_angle_beta 102.24
_cell_angle_gamma 51.54
_symmetry_space_group_name_H-M 'P 1'
_symmetry_Int_Tables_number 1
loop_
_symmetry_equiv_pos_as_xyz
'x,y,z'
loop_
_atom_site_label
_atom_site_fract_x
_atom_site_fract_y
_atom_site_fract_z
V1 0.102 0.102 0.172
V2 0.331 0.331 0.483
V3 0.669 0.669 0.517
V4 0.898 0.898 0.828
Si1 0.228 0.228 0.807
Si2 0.772 0.772 0.193
Mo1 0.000 0.000 0.500
Mo2 0.442 0.442 0.162
Mo3 0.558 0.558 0.838
```

Properties
* formation energy (no corrections): -0.26 eV per atom
* crystal system: monoclinic
* VASP energy: -9.13 eV per atom
* density: 7.2 g/cm³



[6]
This record from Alexandria via LeMat-Bulk describes a relaxed V6SiMo crystal. The functional is PBE.

CIF file:
```
data_V6SiMo
_cell_length_a 4.778
_cell_length_b 4.778
_cell_length_c 4.778
_cell_angle_alpha 90.00
_cell_angle_beta 90.00
_cell_angle_gamma 90.00
_symmetry_space_group_name_H-M 'P 1'
_symmetry_Int_Tables_number 1
loop_
_symmetry_equiv_pos_as_xyz
'x,y,z'
loop_
_atom_site_label
_atom_site_fract_x
_atom_site_fract_y
_atom_site_fract_z
V1 0.000 0.252 0.500
V2 0.000 0.748 0.500
V3 0.252 0.500 0.000
V4 0.500 0.000 0.252
V5 0.500 0.000 0.748
V6 0.748 0.500 0.000
Si1 0.500 0.500 0.500
Mo1 0.000 0.000 0.000
```

Properties
* formation energy (no corrections): -0.22 eV per atom
* crystal system: cubic
* VASP energy: -9.09 eV per atom
* density: 6.5 g/cm³



[7]
This record from Alexandria via LeMat-Bulk describes a relaxed VSi3Mo4 crystal. The functional is PBE.

CIF file:
```
data_VSi3Mo4
_cell_length_a 7.248
_cell_length_b 7.248
_cell_length_c 7.248
_cell_angle_alpha 96.40
_cell_angle_beta 96.40
_cell_angle_gamma 141.01
_symmetry_space_group_name_H-M 'P 1'
_symmetry_Int_Tables_number 1
loop_
_symmetry_equiv_pos_as_xyz
'x,y,z'
loop_
_atom_site_label
_atom_site_fract_x
_atom_site_fract_y
_atom_site_fract_z
V1 0.250 0.750 0.500
V2 0.750 0.250 0.500
Si1 0.163 0.663 0.826
Si2 0.250 0.250 0.000
Si3 0.337 0.163 0.500
Si4 0.663 0.837 0.500
Si5 0.750 0.750 0.000
Si6 0.837 0.337 0.174
Mo1 0.078 0.226 0.304
Mo2 0.226 0.922 0.148
Mo3 0.274 0.422 0.696
Mo4 0.422 0.726 0.148
Mo5 0.578 0.274 0.852
Mo6 0.726 0.578 0.304
Mo7 0.774 0.078 0.852
Mo8 0.922 0.774 0.696
```

Properties
* formation energy (no corrections): -0.48 eV per atom
* crystal system: tetragonal
* VASP energy: -9.07 eV per atom
* density: 7.6 g/cm³



[8]
This record from Alexandria via LeMat-Bulk describes a relaxed V3Si2Mo3 crystal. The functional is PBE.

CIF file:
```
data_V3Si2Mo3
_cell_length_a 4.805
_cell_length_b 4.805
_cell_length_c 4.805
_cell_angle_alpha 90.02
_cell_angle_beta 90.02
_cell_angle_gamma 90.02
_symmetry_space_group_name_H-M 'P 1'
_symmetry_Int_Tables_number 1
loop_
_symmetry_equiv_pos_as_xyz
'x,y,z'
loop_
_atom_site_label
_atom_site_fract_x
_atom_site_fract_y
_atom_site_fract_z
V1 0.000 0.749 0.251
V2 0.251 0.000 0.749
V3 0.749 0.251 0.000
Si1 0.244 0.244 0.244
Si2 0.756 0.756 0.756
Mo1 0.250 0.500 0.750
Mo2 0.500 0.750 0.250
Mo3 0.750 0.250 0.500
```

Properties
* formation energy (no corrections): -0.49 eV per atom
* crystal system: trigonal
* VASP energy: -9.32 eV per atom
* density: 7.4 g/cm³